Ta2CoRh2 | PBE | optimized geometry

Summary:
**ΔE_f**: 0.31 eV/atom
**Total magnetization**: 1.85 μB/cell
**E above lowest polymorph**: 0.623 eV/atom
**D(E_F)**: 3.78 states/eV/cell

```
Ta2CoRh2
1.0
4.416 0.000 0.000
0.000 4.416 0.000
2.208 2.208 4.811
Rh Ta Co
2 2 1
direct
0.375 0.375 0.250
0.625 0.625 0.750
0.750 0.250 0.500
0.250 0.750 0.500
0.000 0.000 0.000
```

SmLu2Cd | PBE | optimized geometry

Summary:
**ΔE_f**: 0.04 eV/atom
**Total magnetization**: 0.76 μB/cell
**E above lowest polymorph**: 0.189 eV/atom
**D(E_F)**: 6.01 states/eV/cell

```
SmLu2Cd
1.0
5.401 0.000 0.000
2.700 4.677 0.000
2.700 1.559 4.410
Cd Lu Sm
1 2 1
direct
0.500 0.500 0.500
0.250 0.250 0.250
0.750 0.750 0.750
0.000 0.000 0.000
```

Ce2Al5Ni2Pd | PBE | optimized geometry

Summary:
**ΔE_f**: -0.56 eV/atom
**Total magnetization**: 0.00 μB/cell
**D(E_F)**: 17.20 states/eV/cell

```
Ce2Al5Ni2Pd
1.0
-2.809 2.978 -0.368
0.228 -0.919 -9.182
-6.736 -6.295 0.463
Ce Al Ni Pd
4 10 4 2
direct
0.000 0.184 0.316
0.000 0.816 0.684
0.000 0.316 0.816
0.000 0.684 0.184
0.500 0.294 0.555
0.500 0.445 0.294
0.500 0.706 0.445
0.500 0.206 0.055
0.500 0.945 0.206
0.500 0.055 0.794
0.500 0.000 0.500
0.500 0.555 0.706
0.500 0.794 0.945
0.500 0.500 0.000
0.000 0.614 0.886
0.000 0.114 0.614
0.000 0.886 0.386
0.000 0.386 0.114
0.000 0.500 0.500
0.000 0.000 0.000
```

AgPdAu2 | PBE | optimized geometry

Summary:
**ΔE_f**: 0.16 eV/atom
**Total magnetization**: 0.00 μB/cell
**E above lowest polymorph**: 0.254 eV/atom
**D(E_F)**: 2.55 states/eV/cell

```
AgPdAu2
1.0
-0.655 -3.847 0.444
1.228 -0.633 -3.677
9.470 -3.426 1.654
Au Ag Pd
4 2 2
direct
0.375 0.377 0.750
0.127 0.625 0.250
0.875 0.873 0.750
0.623 0.125 0.250
0.000 0.000 0.000
0.750 0.250 0.500
0.250 0.750 0.500
0.500 0.500 0.000
```

MnHgTe | PBE | optimized geometry

Summary:
**Total magnetization**: 4.81 μB/cell
**ΔE_f (raw)**: 0.095 eV per atom
**E above lowest polymorph**: 0.036 eV/atom
**D(E_F)**: 1.21 states/eV/cell

```
MnHgTe
1.0
4.198 0.000 0.000
-2.099 3.636 0.000
0.000 0.000 5.382
Mn Te Hg
1 1 1
direct
0.667 0.333 0.362
0.333 0.667 0.598
0.000 0.000 0.039
```

ScMn2 | PBE | optimized geometry

Summary:
**ΔE_f**: 0.25 eV/atom
**Total magnetization**: 5.96 μB/cell
**D(E_F)**: 3.66 states/eV/cell

```
ScMn2
1.0
-0.247 -2.340 4.498
-2.749 -4.170 0.904
3.595 2.156 -2.862
Sc Mn
1 2
direct
0.333 0.333 0.000
0.015 0.015 0.000
0.651 0.651 0.000
```

Q: total magnetization of number 2 (SmLu2Cd)?
A: 0.76 μB/cell

Copy entry 4 word for word.
AgPdAu2 | PBE | optimized geometry

Summary:
**ΔE_f**: 0.16 eV/atom
**Total magnetization**: 0.00 μB/cell
**E above lowest polymorph**: 0.254 eV/atom
**D(E_F)**: 2.55 states/eV/cell

```
AgPdAu2
1.0
-0.655 -3.847 0.444
1.228 -0.633 -3.677
9.470 -3.426 1.654
Au Ag Pd
4 2 2
direct
0.375 0.377 0.750
0.127 0.625 0.250
0.875 0.873 0.750
0.623 0.125 0.250
0.000 0.000 0.000
0.750 0.250 0.500
0.250 0.750 0.500
0.500 0.500 0.000
```

Repeat the sixth record exactly.
ScMn2 | PBE | optimized geometry

Summary:
**ΔE_f**: 0.25 eV/atom
**Total magnetization**: 5.96 μB/cell
**D(E_F)**: 3.66 states/eV/cell

```
ScMn2
1.0
-0.247 -2.340 4.498
-2.749 -4.170 0.904
3.595 2.156 -2.862
Sc Mn
1 2
direct
0.333 0.333 0.000
0.015 0.015 0.000
0.651 0.651 0.000
```